[1]
# PBE Na2GdBr4, optimized geometry
data_Na2GdBr4
_symmetry_space_group_name_H-M 'P 1'
_symmetry_Int_Tables_number 1
_cell_length_a 5.828
_cell_length_b 5.828
_cell_length_c 15.171
_cell_angle_alpha 90.00
_cell_angle_beta 90.00
_cell_angle_gamma 90.00
loop_
_symmetry_equiv_pos_as_xyz
'x,y,z'
loop_
_atom_site_label
_atom_site_type_symbol
_atom_site_fract_x
_atom_site_fract_y
_atom_site_fract_z
Na1 Na 0.000 0.000 0.128
Na2 Na 0.000 0.000 0.872
Na3 Na 0.500 0.500 0.372
Na4 Na 0.500 0.500 0.628
Gd1 Gd 0.000 0.000 0.500
Gd2 Gd 0.500 0.500 0.000
Br1 Br 0.000 0.000 0.314
Br2 Br 0.000 0.000 0.686
Br3 Br 0.000 0.500 0.000
Br4 Br 0.000 0.500 0.500
Br5 Br 0.500 0.000 0.000
Br6 Br 0.500 0.000 0.500
Br7 Br 0.500 0.500 0.186
Br8 Br 0.500 0.500 0.814
# crystal system = tetragonal
# formation energy from raw total energies = -963 kJ/mol of formula units

[2]
# PBE Dy2CuPPt6, optimized geometry
data_Dy2CuPPt6
_symmetry_space_group_name_H-M 'P 1'
_symmetry_Int_Tables_number 1
_cell_length_a 5.526
_cell_length_b 8.609
_cell_length_c 8.018
_cell_angle_alpha 90.00
_cell_angle_beta 90.00
_cell_angle_gamma 90.00
loop_
_symmetry_equiv_pos_as_xyz
'x,y,z'
loop_
_atom_site_label
_atom_site_type_symbol
_atom_site_fract_x
_atom_site_fract_y
_atom_site_fract_z
Dy1 Dy 0.250 0.025 0.228
Dy2 Dy 0.250 0.475 0.228
Dy3 Dy 0.750 0.525 0.772
Dy4 Dy 0.750 0.975 0.772
Cu1 Cu 0.250 0.750 0.785
Cu2 Cu 0.750 0.250 0.215
P1 P 0.250 0.250 0.734
P2 P 0.750 0.750 0.266
Pt1 Pt 0.003 0.750 0.515
Pt2 Pt 0.008 0.750 0.044
Pt3 Pt 0.250 0.002 0.616
Pt4 Pt 0.250 0.498 0.616
Pt5 Pt 0.492 0.750 0.044
Pt6 Pt 0.497 0.750 0.515
Pt7 Pt 0.503 0.250 0.485
Pt8 Pt 0.508 0.250 0.956
Pt9 Pt 0.750 0.502 0.384
Pt10 Pt 0.750 0.998 0.384
Pt11 Pt 0.992 0.250 0.956
Pt12 Pt 0.997 0.250 0.485
# formation energy = -8.2 eV per formula unit
# crystal system = orthorhombic

[3]
# PBE TePd4Se, optimized geometry
data_TePd4Se
_symmetry_space_group_name_H-M 'P 1'
_symmetry_Int_Tables_number 1
_cell_length_a 7.575
_cell_length_b 7.575
_cell_length_c 7.575
_cell_angle_alpha 33.28
_cell_angle_beta 33.28
_cell_angle_gamma 33.28
loop_
_symmetry_equiv_pos_as_xyz
'x,y,z'
loop_
_atom_site_label
_atom_site_type_symbol
_atom_site_fract_x
_atom_site_fract_y
_atom_site_fract_z
Te1 Te 0.000 0.000 0.000
Pd1 Pd 0.129 0.129 0.129
Pd2 Pd 0.380 0.380 0.380
Pd3 Pd 0.620 0.620 0.620
Pd4 Pd 0.871 0.871 0.871
Se1 Se 0.500 0.500 0.500
# polymorph energy (0 for the lowest one) = 29 meV/atom
# crystal system = trigonal
# formation energy from raw total energies = -93 kJ/mol of formula units

[4]
# PBE La8Nd3Th, optimized geometry
data_La8Nd3Th
_symmetry_space_group_name_H-M 'P 1'
_symmetry_Int_Tables_number 1
_cell_length_a 8.886
_cell_length_b 8.886
_cell_length_c 8.886
_cell_angle_alpha 135.29
_cell_angle_beta 99.93
_cell_angle_gamma 96.71
loop_
_symmetry_equiv_pos_as_xyz
'x,y,z'
loop_
_atom_site_label
_atom_site_type_symbol
_atom_site_fract_x
_atom_site_fract_y
_atom_site_fract_z
La1 La 0.088 0.248 0.840
La2 La 0.266 0.227 0.493
La3 La 0.266 0.773 0.040
La4 La 0.408 0.248 0.160
La5 La 0.592 0.752 0.840
La6 La 0.734 0.227 0.960
La7 La 0.734 0.773 0.507
La8 La 0.912 0.752 0.160
Nd1 Nd 0.223 0.723 0.500
Nd2 Nd 0.500 0.500 0.000
Nd3 Nd 0.777 0.277 0.500
Th1 Th 0.000 0.000 0.000
# formation energy = 3.5 eV per formula unit
# crystal system = orthorhombic

[5]
# PBE LaCePdRh, optimized geometry
data_LaCePdRh
_symmetry_space_group_name_H-M 'P 1'
_symmetry_Int_Tables_number 1
_cell_length_a 4.188
_cell_length_b 3.937
_cell_length_c 11.602
_cell_angle_alpha 90.00
_cell_angle_beta 90.00
_cell_angle_gamma 90.00
loop_
_symmetry_equiv_pos_as_xyz
'x,y,z'
loop_
_atom_site_label
_atom_site_type_symbol
_atom_site_fract_x
_atom_site_fract_y
_atom_site_fract_z
La1 La 0.000 0.000 0.000
La2 La 0.000 0.500 0.500
Ce1 Ce 0.500 0.000 0.274
Ce2 Ce 0.500 0.500 0.774
Pd1 Pd 0.500 0.000 0.560
Pd2 Pd 0.500 0.500 0.060
Rh1 Rh 0.000 0.000 0.744
Rh2 Rh 0.000 0.500 0.244
# formation energy = -3.0 eV per formula unit
# polymorph energy (0 for the lowest one) = 0 meV/atom
# crystal system = orthorhombic

[6]
# PBE Li2Pb5F12, optimized geometry
data_Li2Pb5F12
_symmetry_space_group_name_H-M 'P 1'
_symmetry_Int_Tables_number 1
_cell_length_a 7.372
_cell_length_b 7.372
_cell_length_c 7.805
_cell_angle_alpha 104.93
_cell_angle_beta 104.93
_cell_angle_gamma 53.42
loop_
_symmetry_equiv_pos_as_xyz
'x,y,z'
loop_
_atom_site_label
_atom_site_type_symbol
_atom_site_fract_x
_atom_site_fract_y
_atom_site_fract_z
Li1 Li 0.198 0.802 0.000
Li2 Li 0.802 0.198 0.000
Pb1 Pb 0.000 0.000 0.500
Pb2 Pb 0.310 0.310 0.155
Pb3 Pb 0.323 0.323 0.660
Pb4 Pb 0.677 0.677 0.340
Pb5 Pb 0.690 0.690 0.845
F1 F 0.001 0.001 0.187
F2 F 0.101 0.598 0.424
F3 F 0.118 0.566 0.921
F4 F 0.402 0.899 0.576
F5 F 0.434 0.882 0.079
F6 F 0.495 0.495 0.205
F7 F 0.505 0.505 0.795
F8 F 0.566 0.118 0.921
F9 F 0.598 0.101 0.424
F10 F 0.882 0.434 0.079
F11 F 0.899 0.402 0.576
F12 F 0.999 0.999 0.813
# crystal system = monoclinic
# formation energy from raw total energies = -4527 kJ/mol of formula units

[7]
# PBE AgAs2AuSe, optimized geometry
data_AgAs2AuSe
_symmetry_space_group_name_H-M 'P 1'
_symmetry_Int_Tables_number 1
_cell_length_a 5.024
_cell_length_b 5.024
_cell_length_c 5.249
_cell_angle_alpha 90.00
_cell_angle_beta 90.00
_cell_angle_gamma 90.00
loop_
_symmetry_equiv_pos_as_xyz
'x,y,z'
loop_
_atom_site_label
_atom_site_type_symbol
_atom_site_fract_x
_atom_site_fract_y
_atom_site_fract_z
Ag1 Ag 0.000 0.000 0.000
As1 As 0.000 0.500 0.500
As2 As 0.500 0.000 0.500
Au1 Au 0.500 0.500 0.500
Se1 Se 0.500 0.500 0.000
# polymorph energy (0 for the lowest one) = 0 meV/atom
# crystal system = tetragonal
# formation energy from raw total energies = 399 kJ/mol of formula units

[8]
# PBE CuSb, optimized geometry
data_CuSb
_symmetry_space_group_name_H-M 'P 1'
_symmetry_Int_Tables_number 1
_cell_length_a 7.967
_cell_length_b 3.963
_cell_length_c 3.001
_cell_angle_alpha 90.00
_cell_angle_beta 111.43
_cell_angle_gamma 90.00
loop_
_symmetry_equiv_pos_as_xyz
'x,y,z'
loop_
_atom_site_label
_atom_site_type_symbol
_atom_site_fract_x
_atom_site_fract_y
_atom_site_fract_z
Cu1 Cu 0.000 0.000 0.000
Cu2 Cu 0.500 0.500 0.000
Sb1 Sb 0.148 0.500 0.643
Sb2 Sb 0.648 0.000 0.643
# crystal system = monoclinic
# formation energy from raw total energies = 31 kJ/mol of formula units

[9]
# PBE AcPr2IrO8, optimized geometry
data_AcPr2IrO8
_symmetry_space_group_name_H-M 'P 1'
_symmetry_Int_Tables_number 1
_cell_length_a 4.721
_cell_length_b 5.410
_cell_length_c 7.308
_cell_angle_alpha 93.62
_cell_angle_beta 91.30
_cell_angle_gamma 90.92
loop_
_symmetry_equiv_pos_as_xyz
'x,y,z'
loop_
_atom_site_label
_atom_site_type_symbol
_atom_site_fract_x
_atom_site_fract_y
_atom_site_fract_z
Ac1 Ac 0.000 0.000 0.000
Pr1 Pr 0.457 0.458 0.746
Pr2 Pr 0.543 0.542 0.254
Ir1 Ir 0.000 0.000 0.500
O1 O 0.085 0.747 0.292
O2 O 0.180 0.821 0.685
O3 O 0.324 0.199 0.464
O4 O 0.415 0.262 0.010
O5 O 0.585 0.738 0.990
O6 O 0.676 0.801 0.536
O7 O 0.820 0.179 0.315
O8 O 0.915 0.253 0.708
# crystal system = triclinic
# formation energy from raw total energies = -2564 kJ/mol of formula units

[10]
# PBE Cr2FeP, optimized geometry
data_Cr2FeP
_symmetry_space_group_name_H-M 'P 1'
_symmetry_Int_Tables_number 1
_cell_length_a 2.720
_cell_length_b 3.496
_cell_length_c 4.738
_cell_angle_alpha 90.00
_cell_angle_beta 90.00
_cell_angle_gamma 90.00
loop_
_symmetry_equiv_pos_as_xyz
'x,y,z'
loop_
_atom_site_label
_atom_site_type_symbol
_atom_site_fract_x
_atom_site_fract_y
_atom_site_fract_z
Cr1 Cr 0.000 0.000 0.000
Cr2 Cr 0.500 0.500 0.225
Fe1 Fe 0.000 0.000 0.525
P1 P 0.500 0.500 0.725
# formation energy = -0.1 eV per formula unit
# crystal system = orthorhombic

[11]
# PBE SiTe2As, optimized geometry
data_SiTe2As
_symmetry_space_group_name_H-M 'P 1'
_symmetry_Int_Tables_number 1
_cell_length_a 3.566
_cell_length_b 3.566
_cell_length_c 7.198
_cell_angle_alpha 90.00
_cell_angle_beta 90.00
_cell_angle_gamma 90.00
loop_
_symmetry_equiv_pos_as_xyz
'x,y,z'
loop_
_atom_site_label
_atom_site_type_symbol
_atom_site_fract_x
_atom_site_fract_y
_atom_site_fract_z
Si1 Si 0.000 0.000 0.000
Te1 Te 0.500 0.500 0.243
Te2 Te 0.500 0.500 0.757
As1 As 0.000 0.000 0.500
# polymorph energy (0 for the lowest one) = 337 meV/atom
# crystal system = tetragonal
# formation energy from raw total energies = 181 kJ/mol of formula units

[12]
# PBE ZrTaBr2, optimized geometry
data_ZrTaBr2
_symmetry_space_group_name_H-M 'P 1'
_symmetry_Int_Tables_number 1
_cell_length_a 3.180
_cell_length_b 3.180
_cell_length_c 10.307
_cell_angle_alpha 90.00
_cell_angle_beta 90.00
_cell_angle_gamma 90.00
loop_
_symmetry_equiv_pos_as_xyz
'x,y,z'
loop_
_atom_site_label
_atom_site_type_symbol
_atom_site_fract_x
_atom_site_fract_y
_atom_site_fract_z
Zr1 Zr 0.000 0.000 0.000
Ta1 Ta 0.000 0.000 0.500
Br1 Br 0.500 0.500 0.167
Br2 Br 0.500 0.500 0.833
# polymorph energy (0 for the lowest one) = 937 meV/atom
# crystal system = tetragonal
# formation energy from raw total energies = 150 kJ/mol of formula units